Density functional theory data (PBE) for a relaxed structure of NdSm3Hg6.

POSCAR file:
```
NdSm3Hg6
1.0
-0.4797 -3.3501 3.9965
0.3151 -7.2239 -6.0175
10.6943 2.1668 3.1000
Hg Nd Sm
12 2 6
Direct
0.7500 0.5368 0.9097
0.2500 0.1393 0.2011
0.7500 0.7542 0.4871
0.7500 0.1661 0.6896
0.2500 0.6512 0.7059
0.7500 0.3488 0.2941
0.7500 0.9373 0.0990
0.2500 0.8339 0.3104
0.2500 0.2458 0.5129
0.2500 0.0627 0.9010
0.2500 0.4632 0.0903
0.7500 0.8607 0.7989
0.7500 0.0647 0.3865
0.2500 0.9353 0.6135
0.7500 0.2261 0.0069
0.2500 0.5090 0.3854
0.2500 0.7739 0.9931
0.7500 0.6463 0.2010
0.7500 0.4910 0.6146
0.2500 0.3537 0.7990
```

Output
Total magnetization in μB per cell: 0.00
Fermi-level density of states in states/eV/atom: 0.783
E_form in eV/atom: -0.44

Density functional theory data (PBE) for a relaxed structure of YBeAu3.

POSCAR file:
```
YBeAu3
1.0
3.6811 0.0000 0.0000
0.0000 2.7014 -6.6764
0.0000 2.7014 6.6764
Y Au Be
1 3 1
Direct
0.5000 0.0986 0.9014
0.0000 0.2605 0.7395
0.5000 0.6610 0.8436
0.5000 0.1564 0.3390
0.0000 0.4516 0.5484
```

Output
Total magnetization in μB per cell: 0.00
Fermi-level density of states in states/eV/atom: 0.424
ΔE to the lowest computed polymorph in eV per formula unit: 2.934
E_form in eV/atom: 0.02

Density functional theory data (PBE) for a relaxed structure of ZrCl3O.

POSCAR file:
```
ZrCl3O
1.0
4.4733 0.0000 0.0000
0.0000 4.4733 0.0000
0.0000 0.0000 4.4733
O Cl Zr
1 3 1
Direct
0.0000 0.0000 0.0000
0.5000 0.0000 0.0000
0.0000 0.5000 0.0000
0.0000 0.0000 0.5000
0.5000 0.5000 0.5000
```

Output
Total magnetization in μB per cell: 0.00
Raw formation energy in eV/f.u.: 1.501
Fermi-level density of states in states/eV/atom: 1.398